No. 1
Entry from Alexandria: a relaxed Sb3TeC crystal (PBE).

Properties
The energy relative to the lowest polymorph listed for this composition is 6.55 eV/f.u. Its uncorrected energy is -0.0999 Ha/atom. The raw formation energy is 11.1 eV per formula unit. For the density, the calculation gives 4.389 g/cm³.

Lattice parameters (Å, degrees): 5.759 5.759 5.759 90.00 90.00 90.00
Space group Pm-3m (No. 221)
One atom of each set of equivalent atoms:
Sb 0.000 0.000 0.500 x3
Te 0.000 0.000 0.000 x1
C 0.500 0.500 0.500 x1

---

No. 2
Entry from Alexandria: a relaxed SbTe3C crystal (PBE).

Properties
The energy relative to the lowest polymorph listed for this composition is 5.12 eV/f.u. Its uncorrected energy is -0.0967 Ha/atom. The raw formation energy is 9.6 eV per formula unit. For the density, the calculation gives 4.489 g/cm³.

Lattice parameters (Å, degrees): 5.760 5.760 5.760 90.00 90.00 90.00
Space group Pm-3m (No. 221)
One atom of each set of equivalent atoms:
Sb 0.000 0.000 0.000 x1
Te 0.000 0.000 0.500 x3
C 0.500 0.500 0.500 x1

---

No. 3
Entry from Alexandria: a relaxed SbTeC2 crystal (PBE).

Properties
The energy relative to the lowest polymorph listed for this composition is 0.00 eV/f.u. Its uncorrected energy is -0.1749 Ha/atom. The raw formation energy is 6.7 eV per formula unit. For the density, the calculation gives 6.481 g/cm³.

Lattice parameters (Å, degrees): 5.858 5.858 8.164 90.00 90.00 90.00
Space group I-42d (No. 122)
One atom of each set of equivalent atoms:
Sb 0.000 0.000 0.000 x4
Te 0.000 0.000 0.500 x4
C 0.222 0.250 0.125 x8

---

No. 4
Entry from Alexandria: a relaxed SbTeC3 crystal (PBE).

Properties
The energy relative to the lowest polymorph listed for this composition is 0.10 eV/f.u. Its uncorrected energy is -0.1567 Ha/atom. The raw formation energy is 13.6 eV per formula unit. For the density, the calculation gives 6.029 g/cm³.

Lattice parameters (Å, degrees): 4.284 4.284 4.284 90.00 90.00 90.00
Space group Pm-3m (No. 221)
One atom of each set of equivalent atoms:
Sb 0.000 0.000 0.000 x1
Te 0.500 0.500 0.500 x1
C 0.000 0.000 0.500 x3

---

No. 5
Entry from Alexandria: a relaxed Sb2Te2C crystal (PBE).

Properties
The energy relative to the lowest polymorph listed for this composition is 2.55 eV/f.u. Its uncorrected energy is -0.1200 Ha/atom. The raw formation energy is 7.4 eV per formula unit. For the density, the calculation gives 5.912 g/cm³.

Lattice parameters (Å, degrees): 4.041 4.041 17.568 90.00 90.00 90.00
Space group I4/mmm (No. 139)
One atom of each set of equivalent atoms:
Sb 0.000 0.500 0.250 x4
Te 0.000 0.000 0.077 x4
C 0.000 0.000 0.500 x2

---

No. 6
Entry from Alexandria: a relaxed Th4SbTe2C crystal (PBE).

Properties
Its uncorrected energy is -0.2568 Ha/atom. The raw formation energy is -6.6 eV per formula unit. For the density, the calculation gives 9.391 g/cm³.

Lattice parameters (Å, degrees): 7.604 4.147 7.774 90.00 108.19 90.00
Space group P2/m (No. 10)
One atom of each set of equivalent atoms:
Th 0.199 0.000 0.198 x2
Th 0.209 0.500 0.794 x2
Sb 0.500 0.000 0.000 x1
Te 0.000 0.000 0.500 x1
Te 0.500 0.500 0.500 x1
C 0.000 0.500 0.000 x1

---

No. 7
Entry from Alexandria: a relaxed TiSbTe2C crystal (PBE).

Properties
The energy relative to the lowest polymorph listed for this composition is 0.00 eV/f.u. Its uncorrected energy is -0.1688 Ha/atom. The raw formation energy is 4.6 eV per formula unit. For the density, the calculation gives 6.926 g/cm³.

Lattice parameters (Å, degrees): 4.724 4.724 4.693 90.00 90.00 90.00
Space group P4/mmm (No. 123)
One atom of each set of equivalent atoms:
Ti 0.000 0.000 0.000 x1
Sb 0.500 0.500 0.000 x1
Te 0.000 0.500 0.500 x2
C 0.500 0.500 0.500 x1

---

No. 8
Entry from Alexandria: a relaxed TiSbTe2C crystal (PBE).

Properties
The energy relative to the lowest polymorph listed for this composition is 2.18 eV/f.u. Its uncorrected energy is -0.1528 Ha/atom. The raw formation energy is 6.7 eV per formula unit. For the density, the calculation gives 4.985 g/cm³.

Lattice parameters (Å, degrees): 5.250 5.250 5.279 90.00 90.00 90.00
Space group P4/mmm (No. 123)
One atom of each set of equivalent atoms:
Ti 0.000 0.000 0.000 x1
Sb 0.000 0.000 0.500 x1
Te 0.000 0.500 0.000 x2
C 0.500 0.500 0.500 x1

---

No. 9
Entry from Alexandria: a relaxed TlSb2TeC crystal (PBE).

Properties
The energy relative to the lowest polymorph listed for this composition is 6.62 eV/f.u. Its uncorrected energy is -0.0884 Ha/atom. The raw formation energy is 11.0 eV per formula unit. For the density, the calculation gives 5.099 g/cm³.

Lattice parameters (Å, degrees): 5.758 5.758 5.771 90.00 90.00 90.00
Space group P4/mmm (No. 123)
One atom of each set of equivalent atoms:
Tl 0.000 0.000 0.000 x1
Sb 0.000 0.500 0.000 x2
Te 0.000 0.000 0.500 x1
C 0.500 0.500 0.500 x1

---

No. 10
Entry from Alexandria: a relaxed TlSb2TeC crystal (PBE).

Properties
The energy relative to the lowest polymorph listed for this composition is 0.00 eV/f.u. Its uncorrected energy is -0.1370 Ha/atom. The raw formation energy is 4.3 eV per formula unit. For the density, the calculation gives 7.905 g/cm³.

Lattice parameters (Å, degrees): 4.800 4.800 5.355 90.00 90.00 90.00
Space group P4/mmm (No. 123)
One atom of each set of equivalent atoms:
Tl 0.000 0.000 0.000 x1
Sb 0.000 0.500 0.500 x2
Te 0.500 0.500 0.000 x1
C 0.500 0.500 0.500 x1

---

No. 11
Entry from Alexandria: a relaxed VSb2TeC crystal (PBE).

Properties
The energy relative to the lowest polymorph listed for this composition is 0.00 eV/f.u. Its uncorrected energy is -0.1731 Ha/atom. The raw formation energy is 6.2 eV per formula unit. For the density, the calculation gives 7.116 g/cm³.

Lattice parameters (Å, degrees): 4.674 4.674 4.636 90.00 90.00 90.00
Space group P4/mmm (No. 123)
One atom of each set of equivalent atoms:
V 0.000 0.000 0.000 x1
Sb 0.000 0.500 0.500 x2
Te 0.500 0.500 0.000 x1
C 0.500 0.500 0.500 x1

---

No. 12
Entry from Alexandria: a relaxed VSb2TeC crystal (PBE).

Properties
The energy relative to the lowest polymorph listed for this composition is 1.30 eV/f.u. Its uncorrected energy is -0.1636 Ha/atom. The raw formation energy is 7.5 eV per formula unit. For the density, the calculation gives 5.497 g/cm³.

Lattice parameters (Å, degrees): 5.086 5.086 5.070 90.00 90.00 90.00
Space group P4/mmm (No. 123)
One atom of each set of equivalent atoms:
V 0.000 0.000 0.000 x1
Sb 0.000 0.500 0.000 x2
Te 0.000 0.000 0.500 x1
C 0.500 0.500 0.500 x1